No. 1
Material: ErBiIrPd
Method: DFT, PBE
State: optimized geometry

Lattice parameters (Å, degrees): 6.861 6.861 6.861 90.00 90.00 90.00
Space group F-43m (No. 216)
Unique sites:
Er (0.000, 0.000, 0.000)
Bi (0.000, 0.000, 0.500)
Ir (0.250, 0.250, 0.250)
Pd (0.250, 0.250, 0.750)

Values from the calculation:
Its formation energy from the elements is -2.02 eV/f.u. The value obtained for the density of states at the Fermi level is 2.11 states/eV/f.u. The value obtained for the raw total energy is -24.51 eV/f.u.

---

No. 2
Material: KErBi
Method: DFT, PBE
State: optimized geometry

Lattice parameters (Å, degrees): 4.272 4.272 13.917 90.00 90.00 90.00
Space group I4mm (No. 107)
Unique sites:
K (0.000, 0.000, 0.000)
Er (0.000, 0.000, 0.271)
Bi (0.000, 0.000, 0.720)

Values from the calculation:
Its formation energy from the elements is -0.77 eV/f.u. The value obtained for the density of states at the Fermi level is 2.25 states/eV/f.u. The value obtained for the raw total energy is -10.31 eV/f.u.

---

No. 3
Material: K3Er2BiO6
Method: DFT, PBE
State: optimized geometry

Lattice parameters (Å, degrees): 6.066 10.505 6.585 90.00 107.90 90.00
Space group C2/m (No. 12)
Unique sites:
K (0.000, 0.000, 0.000)
K (0.000, 0.335, 0.000)
Er (0.000, 0.167, 0.500)
Bi (0.000, 0.500, 0.500)
O (0.213, 0.000, 0.689)
O (0.239, 0.325, 0.689)

Values from the calculation:
For the formation energy (no corrections), the calculation gives -2.317 eV per atom. The value obtained for the density of states at the Fermi level is 0.00 states/eV/f.u. The value obtained for the raw total energy is -73.85 eV/f.u.

---

No. 4
Material: K3ErBi2O6
Method: DFT, PBE
State: optimized geometry

Lattice parameters (Å, degrees): 6.174 10.694 6.612 90.00 108.15 90.00
Space group C2/m (No. 12)
Unique sites:
K (0.000, 0.000, 0.000)
K (0.000, 0.332, 0.000)
Er (0.000, 0.500, 0.500)
Bi (0.000, 0.167, 0.500)
O (0.223, 0.342, 0.695)
O (0.249, 0.000, 0.695)

Values from the calculation:
For the formation energy (no corrections), the calculation gives -1.819 eV per atom. The value obtained for the density of states at the Fermi level is 0.00 states/eV/f.u. The value obtained for the raw total energy is -67.20 eV/f.u.

---

No. 5
Material: K3Er3BiO8
Method: DFT, PBE
State: optimized geometry

Lattice parameters (Å, degrees): 6.8894 6.8894 19.0230 90.00 90.00 120.00
Space group R-3m (No. 166, hexagonal axes)
Unique sites:
K (0.0000, 0.5000, 0.0000)
Er (0.0000, 0.5000, 0.5000)
Bi (0.0000, 0.0000, 0.5000)
O (0.0000, 0.0000, 0.2258)
O (0.0019, 0.5009, 0.2269)

Values from the calculation:
For the formation energy (no corrections), the calculation gives -2.452 eV per atom. The value obtained for the density of states at the Fermi level is 2.36 states/eV/f.u. The value obtained for the raw total energy is -97.30 eV/f.u.

---

No. 6
Material: K2ErBi2O6
Method: DFT, PBE
State: optimized geometry

Lattice parameters (Å, degrees): 6.110 10.475 6.733 90.00 107.73 90.00
Space group C2/m (No. 12)
Unique sites:
K (0.000, 0.169, 0.000)
Er (0.000, 0.000, 0.500)
Bi (0.000, 0.335, 0.500)
O (0.219, 0.167, 0.681)
O (0.249, 0.500, 0.685)

Values from the calculation:
For the formation energy (no corrections), the calculation gives -1.771 eV per atom. The value obtained for the density of states at the Fermi level is 4.99 states/eV/f.u. The value obtained for the raw total energy is -63.75 eV/f.u.